PmPr2ErTh, optimized geometry, DFT PBE-GGA; electronic total energy = -4.94 eV/atom; formation energy from the elements = 1.61 eV/f.u.; space group = P2/c, No. 13
1.0
-1.8260 0.9473 -5.9860
-6.7916 -5.3710 1.2218
-3.5437 4.9938 1.8713
Er Pr Th Pm
2 4 2 2
Cartesian
-5.7724 -0.6637 -3.8080
-6.3889 1.2338 0.9151
-8.6267 0.7391 -1.9923
-6.0940 -2.1526 -0.4338
-6.0673 2.7227 -2.4591
-3.5347 -0.1689 -0.9006
-1.7718 2.4969 0.9356
0.0000 0.0000 0.0000
-1.8695 1.7587 -2.7566
-3.5002 4.1824 -1.3581